1.
Ac3La2Nd2 after structural relaxation. Source: Alexandria via LeMat-Bulk, functional PBE.

Cell: 3.743 9.062 9.536 Å, 117.03 101.32 90.00°
Sites, in units of the cell vectors:
La1 0.562 0.910 0.124
Ac1 0.784 0.205 0.568
Ac2 0.216 0.795 0.432
La2 0.438 0.090 0.876
Ac3 0.000 0.500 0.000
Nd1 0.146 0.331 0.293
Nd2 0.854 0.669 0.707

Calculated values
DOS(E_F) (states/eV per cell): 11.3
Energy of formation from the pure elements (eV per atom): 0.12



2.
Hf2BeS after structural relaxation. Source: Alexandria via LeMat-Bulk, functional PBE.

Cell: 4.501 4.501 4.501 Å, 60.00 60.00 60.00°
Sites, in units of the cell vectors:
Be1 0.000 0.000 0.000
S1 0.500 0.500 0.500
Hf1 0.250 0.250 0.250
Hf2 0.750 0.750 0.750

Calculated values
Energy (eV/atom): -7.177
DOS(E_F) (states/eV per cell): 2.4



3.
Pr3Y8Ho4 after structural relaxation. Source: Alexandria via LeMat-Bulk, functional PBE.

Cell: 6.776 9.343 9.343 Å, 87.15 111.36 111.36°
Sites, in units of the cell vectors:
Pr1 0.500 0.500 0.500
Y1 0.540 0.268 0.268
Pr2 0.500 0.500 0.000
Y2 0.991 0.742 0.742
Y3 0.460 0.732 0.732
Y4 0.000 0.357 0.643
Ho1 0.000 0.000 0.000
Y5 0.000 0.643 0.357
Y6 0.500 0.251 0.749
Pr3 0.500 0.000 0.500
Y7 0.500 0.749 0.251
Y8 0.009 0.258 0.258
Ho2 0.000 0.500 0.000
Ho3 0.000 0.000 0.500
Ho4 0.500 0.000 0.000

Calculated values
DOS(E_F) (states/eV per cell): 30.6
Energy of formation from the pure elements (eV per atom): 0.39



4.
ErTmAs2 after structural relaxation. Source: Alexandria via LeMat-Bulk, functional PBE.

Cell: 4.074 4.074 7.050 Å, 89.98 106.81 120.02°
Sites, in units of the cell vectors:
As1 0.499 0.250 0.749
Tm1 0.000 0.500 0.500
Er1 0.000 0.000 0.000
As2 0.501 0.750 0.251

Calculated values
DOS(E_F) (states/eV per cell): 0.5
Energy of formation from the pure elements (eV per atom): -1.51



5.
CaTlSiTeSeF after structural relaxation. Source: Alexandria via LeMat-Bulk, functional PBE.

Cell: 5.909 3.940 14.963 Å, 90.00 102.68 90.00°
Sites, in units of the cell vectors:
Te1 0.281 0.000 0.723
Se1 0.785 0.500 0.554
Ca1 0.274 0.000 0.035
F1 0.234 0.500 0.967
Ca2 0.274 0.500 0.535
Tl1 0.693 0.000 0.380
Tl2 0.693 0.500 0.880
F2 0.234 0.000 0.467
Te2 0.281 0.500 0.223
Si1 0.960 0.500 0.711
Se2 0.785 0.000 0.054
Si2 0.960 0.000 0.211

Calculated values
Energy (eV/atom): -4.284



6.
PrCd4Au4 after structural relaxation. Source: Alexandria via LeMat-Bulk, functional PBE.

Cell: 6.496 6.496 9.656 Å, 90.00 90.00 90.00°
Sites, in units of the cell vectors:
Cd1 0.276 0.000 0.580
Cd2 0.500 0.776 0.080
Au1 0.770 0.500 0.220
Cd3 0.500 0.224 0.080
Cd4 0.776 0.500 0.920
Cd5 0.000 0.276 0.420
Au2 0.000 0.730 0.720
Au3 0.500 0.770 0.780
Cd6 0.724 0.000 0.580
Cd7 0.000 0.724 0.420
Pr1 0.000 0.000 0.000
Au4 0.270 0.000 0.280
Pr2 0.500 0.500 0.500
Au5 0.730 0.000 0.280
Au6 0.500 0.230 0.780
Au7 0.000 0.270 0.720
Cd8 0.224 0.500 0.920
Au8 0.230 0.500 0.220

Calculated values
DOS(E_F) (states/eV per cell): 7.5
Energy of formation from the pure elements (eV per atom): -0.26



Sequential ρ output: 7.4; 10.3; 5.8; 8.4; 4.9; 11.2 g cm⁻³